Material: HfMn3I
Method: DFT, GGA-PBE
State: optimized geometry

Output
V in Å³/cell: 128.11
Magnetization in μB per cell: 10.384
Formation energy (no corrections) in eV/atom: 1.3596
Energy above the lowest structure with this stoichiometry in meV/atom: 44
VASP energy in eV/atom: -6.44

Cell lengths 5.041, 5.041, 5.041 Å; angles 90.00, 90.00, 90.00 degrees
Space group Pm-3m (No. 221)
One atom of each set of equivalent atoms:
Hf (0.000, 0.000, 0.000) x1
Mn (0.000, 0.000, 0.500) x3
I (0.500, 0.500, 0.500) x1